A plane-wave DFT calculation with PBE was carried out for an optimized crystal structure of Ac2ZnPt.

Excess energy over the best structure of this formula in the dataset   0.3373 eV per atom

Lattice parameters (Å, degrees): 4.455 4.455 29.707 90.00 90.00 120.00
Element x y z (fractional)
Ac  0.000  0.000  0.113
Ac  0.000  0.000  0.887
Ac  0.333  0.667  0.554
Ac  0.333  0.667  0.780
Ac  0.667  0.333  0.220
Ac  0.667  0.333  0.446
Zn  0.000  0.000  0.000
Zn  0.333  0.667  0.667
Zn  0.667  0.333  0.333
Pt  0.000  0.000  0.500
Pt  0.333  0.667  0.167
Pt  0.667  0.333  0.833

A plane-wave DFT calculation with PBE was carried out for an optimized crystal structure of AcZn11Pt.

Lattice parameters (Å, degrees): 7.036 7.036 6.975 97.86 97.86 136.53
Element x y z (fractional)
Ac  0.000  0.000  0.000
Zn  0.000  0.500  0.000
Zn  0.008  0.653  0.639
Zn  0.269  0.502  0.769
Zn  0.347  0.992  0.361
Zn  0.498  0.731  0.231
Zn  0.500  0.000  0.000
Zn  0.500  0.500  0.500
Zn  0.502  0.269  0.769
Zn  0.653  0.008  0.639
Zn  0.731  0.498  0.231
Zn  0.992  0.347  0.361
Pt  0.000  0.000  0.500

Asked for density across the records above, the calculation gives 6.97, 8.59 g/cm³ in order.
Asked for ΔH_f (0 K) across the records above, the calculation gives -362.4, -254.6 meV per atom in order.